1.
Computed, not measured: a relaxed structure of Pm3Nd3SmTe8 at the PBE level of DFT.

Symmetry: No. 166
D(E_F) in states/eV per cell: 7.24
Uncorrected formation energy in meV/atom: -1454

Cell lengths 8.923, 8.923, 8.932 Å; angles 119.97, 90.00, 120.00 degrees
Fractional coordinates of all 15 atoms:
Pm1 0.500 0.000 0.500
Pm2 0.500 0.500 0.500
Pm3 0.000 0.500 0.500
Nd1 0.000 0.000 0.000
Nd2 0.000 0.500 0.000
Nd3 0.500 0.500 0.000
Sm1 0.000 0.000 0.500
Te1 0.251 0.502 0.252
Te2 0.749 0.498 0.748
Te3 0.746 0.492 0.248
Te4 0.254 0.508 0.752
Te5 0.746 0.002 0.248
Te6 0.254 0.998 0.752
Te7 0.256 0.002 0.248
Te8 0.744 0.998 0.752

---

2.
Computed, not measured: a relaxed structure of LiRuF2 at the PBE level of DFT.

Symmetry: No. 166
E above lowest polymorph in meV/atom: 727
D(E_F) in states/eV per cell: 1.29
Uncorrected formation energy in meV/atom: -1075

Cell lengths 7.279, 7.279, 7.279 Å; angles 23.45, 23.45, 23.45 degrees
Fractional coordinates of all 4 atoms:
Ru1 0.500 0.500 0.500
Li1 0.000 0.000 0.000
F1 0.920 0.920 0.920
F2 0.080 0.080 0.080

---

3.
Computed, not measured: a relaxed structure of Co2P at the PBE level of DFT.

Symmetry: No. 164
D(E_F) in states/eV per cell: 3.10
Calculated formation energy in eV per atom: -0.27

Cell lengths 3.706, 3.706, 2.749 Å; angles 90.00, 90.00, 120.00 degrees
Fractional coordinates of all 3 atoms:
Co1 0.667 0.333 0.242
Co2 0.333 0.667 0.758
P1 0.000 0.000 0.000

---

4.
Computed, not measured: a relaxed structure of LiBr3 at the PBE level of DFT.

Symmetry: No. 122
E above lowest polymorph in meV/atom: 338
D(E_F) in states/eV per cell: 0.00
Uncorrected formation energy in meV/atom: -392

Cell lengths 7.341, 7.341, 6.917 Å; angles 57.95, 57.95, 90.00 degrees
Fractional coordinates of all 8 atoms:
Br1 0.563 0.125 0.250
Br2 0.187 0.625 0.250
Br3 0.375 0.437 0.750
Br4 0.875 0.813 0.750
Br5 0.000 0.000 0.000
Br6 0.750 0.250 0.500
Li1 0.500 0.500 0.000
Li2 0.250 0.750 0.500

---

5.
Computed, not measured: a relaxed structure of NpP2S8 at the PBE level of DFT.

Symmetry: No. 12
D(E_F) in states/eV per cell: 8.99
Uncorrected formation energy in meV/atom: -315

Cell lengths 5.942, 7.306, 7.306 Å; angles 81.12, 84.96, 84.96 degrees
Fractional coordinates of all 11 atoms:
Np1 0.000 0.000 0.000
P1 0.346 0.204 0.204
P2 0.654 0.796 0.796
S1 0.754 0.068 0.721
S2 0.246 0.279 0.932
S3 0.700 0.192 0.192
S4 0.300 0.808 0.808
S5 0.754 0.721 0.068
S6 0.246 0.932 0.279
S7 0.224 0.375 0.375
S8 0.776 0.625 0.625

---

6.
Computed, not measured: a relaxed structure of PtRh2Se6 at the PBE level of DFT.

Symmetry: No. 136
D(E_F) in states/eV per cell: 22.02
Uncorrected formation energy in meV/atom: -132

Cell lengths 5.716, 5.716, 11.894 Å; angles 90.00, 90.00, 90.00 degrees
Fractional coordinates of all 18 atoms:
Pt1 0.500 0.500 0.000
Pt2 0.000 0.000 0.500
Rh1 0.500 0.500 0.334
Rh2 0.500 0.500 0.666
Rh3 0.000 0.000 0.166
Rh4 0.000 0.000 0.834
Se1 0.693 0.693 0.169
Se2 0.693 0.693 0.831
Se3 0.690 0.690 0.500
Se4 0.810 0.190 0.000
Se5 0.807 0.193 0.331
Se6 0.807 0.193 0.669
Se7 0.193 0.807 0.331
Se8 0.193 0.807 0.669
Se9 0.190 0.810 0.000
Se10 0.310 0.310 0.500
Se11 0.307 0.307 0.169
Se12 0.307 0.307 0.831

---

7.
Computed, not measured: a relaxed structure of NdCuAu at the PBE level of DFT.

Symmetry: No. 12
E above lowest polymorph in meV/atom: 0
D(E_F) in states/eV per cell: 4.18
Calculated formation energy in eV per atom: -0.53

Cell lengths 4.450, 5.733, 5.927 Å; angles 76.31, 67.95, 67.16 degrees
Fractional coordinates of all 6 atoms:
Nd1 0.541 0.206 0.711
Nd2 0.459 0.794 0.289
Cu1 0.149 0.394 0.308
Cu2 0.851 0.606 0.692
Au1 0.823 0.225 0.129
Au2 0.177 0.775 0.871

---

8.
Computed, not measured: a relaxed structure of CaEr5Tl6 at the PBE level of DFT.

Symmetry: No. 65
D(E_F) in states/eV per cell: 8.62
Calculated formation energy in eV per atom: -0.33

Cell lengths 5.379, 7.474, 8.521 Å; angles 90.00, 71.60, 90.00 degrees
Fractional coordinates of all 12 atoms:
Ca1 0.000 0.000 0.000
Tl1 0.832 0.748 0.336
Tl2 0.832 0.252 0.336
Tl3 0.500 0.251 0.000
Tl4 0.500 0.749 0.000
Tl5 0.168 0.748 0.664
Tl6 0.168 0.252 0.664
Er1 0.665 0.500 0.670
Er2 0.333 0.000 0.333
Er3 0.000 0.500 0.000
Er4 0.667 0.000 0.667
Er5 0.335 0.500 0.330

---

9.
Computed, not measured: a relaxed structure of Al2TlW at the PBE level of DFT.

Symmetry: No. 44
E above lowest polymorph in meV/atom: 169
D(E_F) in states/eV per cell: 2.67
Calculated formation energy in eV per atom: 0.45

Cell lengths 5.250, 5.250, 5.250 Å; angles 138.39, 132.66, 64.83 degrees
Fractional coordinates of all 4 atoms:
Tl1 0.499 0.499 0.000
Al1 0.997 0.997 0.000
Al2 0.247 0.747 0.500
W1 0.757 0.257 0.500

---

10.
Computed, not measured: a relaxed structure of Sr2PmAlS5 at the PBE level of DFT.

Symmetry: No. 36
D(E_F) in states/eV per cell: 0.00
Uncorrected formation energy in meV/atom: -1836

Cell lengths 3.995, 9.233, 12.462 Å; angles 90.00, 90.00, 102.49 degrees
Fractional coordinates of all 18 atoms:
Sr1 0.878 0.756 0.829
Sr2 0.113 0.227 0.682
Sr3 0.122 0.244 0.329
Sr4 0.887 0.773 0.182
Pm1 0.793 0.587 0.530
Pm2 0.207 0.413 0.030
Al1 0.555 0.110 0.927
Al2 0.445 0.890 0.427
S1 0.356 0.712 0.008
S2 0.677 0.353 0.871
S3 0.497 0.994 0.771
S4 0.295 0.590 0.681
S5 0.960 0.920 0.525
S6 0.644 0.288 0.508
S7 0.323 0.647 0.371
S8 0.503 0.006 0.271
S9 0.705 0.410 0.181
S10 0.040 0.080 0.025

---

11.
Computed, not measured: a relaxed structure of HoErInOs at the PBE level of DFT.

Symmetry: No. 216
E above lowest polymorph in meV/atom: 130
D(E_F) in states/eV per cell: 2.76
Calculated formation energy in eV per atom: -0.27

Cell lengths 5.007, 5.007, 5.007 Å; angles 60.00, 60.00, 60.00 degrees
Fractional coordinates of all 4 atoms:
In1 0.000 0.000 0.000
Os1 0.500 0.500 0.500
Ho1 0.250 0.250 0.250
Er1 0.750 0.750 0.750